No. 1
A relaxed structure of PrSm2Ag6, computed with PBE.

Lattice parameters (Å, degrees): 8.3262 8.3262 3.5495 90.00 90.00 120.00
Closest atoms and distances in Å follow each position.
Space group P6/mmm (No. 191)
Symmetry-distinct sites (fractional):
Pr (0.0000, 0.0000, 0.0000) x1  12 Ag 3.30, 2 Pr 3.55
Sm (0.3333, 0.6667, 0.0000) x2  12 Ag 3.29, 2 Sm 3.55
Ag (0.0000, 0.3346, 0.5000) x6  3 Ag 2.75-2.79

Computed properties:
The formation enthalpy at 0 K comes out at -0.256 eV per atom. The polymorph energy (0 for the lowest one) comes out at 0.000 eV/atom. Its volume is 213.11 Å³/f.u.

No. 2
A relaxed structure of Tm4AgAu, computed with PBE.

Lattice parameters (Å, degrees): 4.9253 4.9253 6.9685 90.00 90.00 90.00
Closest atoms and distances in Å follow each position.
Space group P4/mmm (No. 123)
Symmetry-distinct sites (fractional):
Tm (0.0000, 0.5000, 0.2450) x4  2 Au 3.00, 2 Ag 3.04
Ag (0.0000, 0.0000, 0.5000) x1  8 Tm 3.04
Au (0.5000, 0.5000, 0.0000) x1  8 Tm 3.00

Computed properties:
The formation enthalpy at 0 K comes out at -0.231 eV per atom. Its volume is 169.05 Å³/f.u.

No. 3
A relaxed structure of MgMnVIr, computed with PBE.

Lattice parameters (Å, degrees): 6.0530 6.0530 6.0530 90.00 90.00 90.00
Closest atoms and distances in Å follow each position.
Space group F-43m (No. 216)
Symmetry-distinct sites (fractional):
Mg (0.0000, 0.0000, 0.0000) x4  4 Mn 2.62, 4 Ir 2.62
Mn (0.2500, 0.2500, 0.7500) x4  4 Mg 2.62, 4 V 2.62
V (0.0000, 0.0000, 0.5000) x4  4 Ir 2.62, 4 Mn 2.62
Ir (0.2500, 0.2500, 0.2500) x4  4 Mg 2.62, 4 V 2.62

Computed properties:
The formation enthalpy at 0 K comes out at -0.173 eV per atom. Its volume is 55.44 Å³/f.u.

No. 4
A relaxed structure of Nd3Mg3Cd2, computed with PBE.

Lattice parameters (Å, degrees): 8.1441 8.1441 4.0483 90.00 90.00 120.00
Closest atoms and distances in Å follow each position.
Space group P-62m (No. 189)
Symmetry-distinct sites (fractional):
Nd (0.0000, 0.6008, 0.0000) x3  4 Cd 3.21, 4 Mg 3.48
Mg (0.0000, 0.2322, 0.5000) x3  2 Cd 3.21, 2 Mg 3.27, 4 Nd 3.48
Cd (0.3333, 0.6667, 0.5000) x2  3 Mg 3.21, 6 Nd 3.21

Computed properties:
The formation enthalpy at 0 K comes out at -0.122 eV per atom. The polymorph energy (0 for the lowest one) comes out at 0.066 eV/atom. Its volume is 232.54 Å³/f.u.

No. 5
A relaxed structure of BaTm4ScS8, computed with PBE.

Lattice parameters (Å, degrees): 8.1513 8.1513 19.5220 90.00 90.00 120.00
Closest atoms and distances in Å follow each position.
Space group R3m (No. 160, hexagonal axes)
Symmetry-distinct sites (fractional):
Ba (0.0000, 0.0000, 0.0000) x3  4 S 2.86-2.87
Tm (0.0000, 0.0000, 0.2433) x3  4 S 2.61-2.63
Tm (0.1698, 0.3396, 0.4524) x9  6 S 2.66-2.81
Sc (0.0000, 0.0000, 0.6221) x3  6 S 2.55-2.79
S (0.0000, 0.0000, 0.3769) x3  4 Tm 2.61-2.81
S (0.0000, 0.0000, 0.8530) x3  3 Tm 2.66, 1 Ba 2.87
S (0.0566, 0.5283, 0.3728) x9  1 Sc 2.55, 2 Tm 2.66
S (0.1772, 0.3545, 0.2011) x9  3 Tm 2.63-2.81, 1 Sc 2.79

Computed properties:
Its formation energy from raw total energies is -1.918 eV/atom. Its volume is 374.44 Å³/f.u.

No. 6
A relaxed structure of K3Zn2H7, computed with PBE.

Lattice parameters (Å, degrees): 3.9248 21.3630 3.8033 90.00 90.00 90.00
Closest atoms and distances in Å follow each position.
Space group Cmmm (No. 65)
Symmetry-distinct sites (fractional):
K (0.0000, 0.0000, 0.0000) x2  12 H 2.70-2.74
K (0.0000, 0.1761, 0.0000) x4  8 H 2.65-2.73
Zn (0.0000, 0.4096, 0.5000) x4  6 H 1.83-1.96
H (0.0000, 0.0894, 0.5000) x4  2 Zn 1.96
H (0.0000, 0.3241, 0.5000) x4  1 Zn 1.83
H (0.0000, 0.4107, 0.0000) x4  2 Zn 1.90
H (0.0000, 0.5000, 0.5000) x2  2 Zn 1.93

Computed properties:
The value obtained for the total energy is -2.53 eV/atom. Its volume is 159.45 Å³/f.u.

No. 7
A relaxed structure of AlReMo2, computed with PBE.

Lattice parameters (Å, degrees): 2.7138 4.3882 5.2743 90.00 103.34 90.00
Closest atoms and distances in Å follow each position.
Space group P2/m (No. 10)
Symmetry-distinct sites (fractional):
Al (0.0000, 0.0000, 0.0000) x1  2 Re 2.67, 2 Al 2.71, 4 Mo 2.74
Re (0.5000, 0.0000, 0.5000) x1  2 Al 2.67, 4 Mo 2.71, 2 Re 2.71
Mo (0.2823, 0.5000, 0.7553) x2  4 Mo 2.58-2.77, 2 Re 2.71, 2 Al 2.74

Computed properties:
The formation enthalpy at 0 K comes out at -0.086 eV per atom. Its volume is 61.11 Å³/f.u.

No. 8
A relaxed structure of ZrSi3Au, computed with PBE.

Lattice parameters (Å, degrees): 4.7935 4.7935 4.7935 90.00 90.00 90.00
Closest atoms and distances in Å follow each position.
Space group Pm-3m (No. 221)
Symmetry-distinct sites (fractional):
Zr (0.0000, 0.0000, 0.0000) x1  12 Si 3.39
Si (0.0000, 0.5000, 0.5000) x3  2 Au 2.40
Au (0.5000, 0.5000, 0.5000) x1  6 Si 2.40

Computed properties:
Its formation energy from raw total energies is 0.891 eV/atom. The polymorph energy (0 for the lowest one) comes out at 0.000 eV/atom. Its volume is 110.15 Å³/f.u.

No. 9
A relaxed structure of Li2TaCl, computed with PBE.

Lattice parameters (Å, degrees): 3.5758 3.5758 10.3072 90.00 90.00 90.00
Closest atoms and distances in Å follow each position.
Space group I4/mmm (No. 139)
Symmetry-distinct sites (fractional):
Li (0.0000, 0.5000, 0.2500) x4  4 Li 2.53
Ta (0.0000, 0.0000, 0.0000) x2  4 Cl 2.53
Cl (0.0000, 0.0000, 0.5000) x2  4 Ta 2.53

Computed properties:
Its formation energy from raw total energies is 0.508 eV/atom. The polymorph energy (0 for the lowest one) comes out at 0.887 eV/atom. Its volume is 65.90 Å³/f.u.

No. 10
A relaxed structure of AlFe2HIr, computed with PBE.

Lattice parameters (Å, degrees): 3.6178 3.6178 4.1215 90.00 90.00 90.00
Closest atoms and distances in Å follow each position.
Space group P4/mmm (No. 123)
Symmetry-distinct sites (fractional):
Al (0.0000, 0.0000, 0.0000) x1  2 H 2.06
Fe (0.0000, 0.5000, 0.5000) x2  2 H 1.81
H (0.0000, 0.0000, 0.5000) x1  4 Fe 1.81
Ir (0.5000, 0.5000, 0.0000) x1  4 Al 2.56, 8 Fe 2.74

Computed properties:
The polymorph energy (0 for the lowest one) comes out at 0.046 eV/atom. Its volume is 53.95 Å³/f.u.

No. 11
A relaxed structure of GeSb2OsI, computed with PBE.

Lattice parameters (Å, degrees): 5.3204 5.3204 5.3451 90.00 90.00 90.00
Closest atoms and distances in Å follow each position.
Space group P4/mmm (No. 123)
Symmetry-distinct sites (fractional):
Ge (0.0000, 0.0000, 0.0000) x1  4 Sb 2.66, 2 I 2.67
Sb (0.0000, 0.5000, 0.0000) x2  2 Ge 2.66
Os (0.5000, 0.5000, 0.5000) x1  4 I 3.76, 8 Sb 3.77
I (0.0000, 0.0000, 0.5000) x1  2 Ge 2.67

Computed properties:
Its formation energy from raw total energies is 1.657 eV/atom. The polymorph energy (0 for the lowest one) comes out at 0.855 eV/atom. Its volume is 151.31 Å³/f.u.

No. 12
A relaxed structure of Tc2SbWCl, computed with PBE.

Lattice parameters (Å, degrees): 4.8787 4.8787 4.5344 90.00 90.00 90.00
Closest atoms and distances in Å follow each position.
Space group P4/mmm (No. 123)
Symmetry-distinct sites (fractional):
Tc (0.0000, 0.5000, 0.0000) x2  2 W 2.44
Sb (0.0000, 0.0000, 0.5000) x1  8 Tc 3.33, 4 Cl 3.45
W (0.5000, 0.5000, 0.0000) x1  2 Cl 2.27, 4 Tc 2.44
Cl (0.5000, 0.5000, 0.5000) x1  2 W 2.27

Computed properties:
Its formation energy from raw total energies is 1.271 eV/atom. Its volume is 107.93 Å³/f.u.